[1]
Material: CoNiOs4
Method: DFT, PBE
State: relaxed

Unit cell a=5.0738 b=5.0738 c=5.0738 alpha=60.00 beta=60.00 gamma=60.00
Closest atoms and distances in Å follow each position.
Fractional coordinates of all 6 atoms:
Co 0.2500 0.2500 0.2500  12 Os 2.98, 4 Ni 3.11
Ni 0.0000 0.0000 0.0000  12 Os 2.97, 4 Co 3.11
Os 0.6252 0.6252 0.1245  6 Os 2.53-2.54
Os 0.6252 0.1245 0.6252  6 Os 2.53-2.54
Os 0.6252 0.6252 0.6252  6 Os 2.53-2.54
Os 0.1245 0.6252 0.6252  6 Os 2.53-2.54

Results
E_tot, eV per atom: -8.69
Crystal system: cubic
M_tot, μB/f.u.: 3.47
ΔE_f, eV per formula unit: 5.7

[2]
Material: CoNiOs2
Method: DFT, PBE
State: relaxed

Unit cell a=8.5762 b=8.5762 c=8.5762 alpha=17.79 beta=17.79 gamma=17.79
Closest atoms and distances in Å follow each position.
Fractional coordinates of all 4 atoms:
Co 0.2500 0.2500 0.2500  6 Os 2.59, 6 Co 2.65
Ni 0.7500 0.7500 0.7500  6 Os 2.63, 6 Ni 2.65
Os 0.9990 0.9990 0.9990  3 Co 2.59, 3 Ni 2.63, 6 Os 2.65
Os 0.5010 0.5010 0.5010  3 Co 2.59, 3 Ni 2.63, 6 Os 2.65

Results
E_tot, eV per atom: -8.66
E above lowest polymorph, eV/f.u.: 0.21
Crystal system: trigonal
M_tot, μB/f.u.: 1.48
ΔE_f, eV per formula unit: 0.7

[3]
Material: Co2NiOs2
Method: DFT, PBE
State: relaxed

Unit cell a=7.0104 b=7.0104 c=2.6047 alpha=90.00 beta=90.00 gamma=90.00
Closest atoms and distances in Å follow each position.
Fractional coordinates of all 10 atoms:
Ni 0.0000 0.0000 0.0000  2 Ni 2.60, 4 Co 2.80, 8 Os 2.89
Ni 0.5000 0.5000 0.0000  2 Ni 2.60, 4 Co 2.80, 8 Os 2.89
Os 0.1776 0.6776 0.5000  6 Co 2.41-2.48, 2 Os 2.60
Os 0.6776 0.8224 0.5000  6 Co 2.41-2.48, 2 Os 2.60
Os 0.8224 0.3224 0.5000  6 Co 2.41-2.48, 2 Os 2.60
Os 0.3224 0.1776 0.5000  6 Co 2.41-2.48, 2 Os 2.60
Co 0.3821 0.8821 0.0000  3 Co 2.34-2.60, 6 Os 2.41-2.48
Co 0.8821 0.6179 0.0000  3 Co 2.34-2.60, 6 Os 2.41-2.48
Co 0.6179 0.1179 0.0000  3 Co 2.34-2.60, 6 Os 2.41-2.48
Co 0.1179 0.3821 0.0000  3 Co 2.34-2.60, 6 Os 2.41-2.48

Results
E_tot, eV per atom: -8.10
Crystal system: tetragonal
M_tot, μB/f.u.: 0.64
ΔE_f, eV per formula unit: 1.9

[4]
Material: Co2Ni2Os
Method: DFT, PBE
State: relaxed

Unit cell a=6.7903 b=6.7903 c=2.5552 alpha=90.00 beta=90.00 gamma=90.00
Closest atoms and distances in Å follow each position.
Fractional coordinates of all 10 atoms:
Ni 0.3773 0.8773 0.0000  6 Co 2.32-2.42, 3 Ni 2.36-2.56
Ni 0.8773 0.6227 0.0000  6 Co 2.32-2.42, 3 Ni 2.36-2.56
Ni 0.6227 0.1227 0.0000  6 Co 2.32-2.42, 3 Ni 2.36-2.56
Ni 0.1227 0.3773 0.0000  6 Co 2.32-2.42, 3 Ni 2.36-2.56
Os 0.0000 0.0000 0.0000  2 Os 2.56, 4 Ni 2.69, 8 Co 2.81
Os 0.5000 0.5000 0.0000  2 Os 2.56, 4 Ni 2.69, 8 Co 2.81
Co 0.1753 0.6753 0.5000  6 Ni 2.32-2.42, 2 Co 2.56
Co 0.6753 0.8247 0.5000  6 Ni 2.32-2.42, 2 Co 2.56
Co 0.8247 0.3247 0.5000  6 Ni 2.32-2.42, 2 Co 2.56
Co 0.3247 0.1753 0.5000  6 Ni 2.32-2.42, 2 Co 2.56

Results
E_tot, eV per atom: -7.13
E above lowest polymorph, eV/f.u.: 0.00
Crystal system: tetragonal
M_tot, μB/f.u.: 5.10
ΔE_f, eV per formula unit: 1.3

[5]
Material: CoNiOs2
Method: DFT, PBE
State: relaxed

Unit cell a=5.3413 b=5.3413 c=5.3413 alpha=150.78 beta=133.10 gamma=56.22
Closest atoms and distances in Å follow each position.
Fractional coordinates of all 4 atoms:
Co 0.7500 0.2500 0.5000  4 Ni 2.52, 2 Co 2.69
Ni 0.2500 0.7500 0.5000  4 Os 2.44, 4 Co 2.52, 2 Ni 2.69
Os 0.0339 0.0339 0.0000  2 Ni 2.44, 6 Os 2.60-2.69
Os 0.4661 0.4661 0.0000  2 Ni 2.44, 6 Os 2.60-2.69

Results
E_tot, eV per atom: -8.44
E above lowest polymorph, eV/f.u.: 1.06
Crystal system: orthorhombic
M_tot, μB/f.u.: 1.93
ΔE_f, eV per formula unit: 1.6

[6]
Material: CoNiOs2
Method: DFT, PBE
State: relaxed

Unit cell a=2.6772 b=3.6957 c=5.1432 alpha=90.00 beta=90.00 gamma=90.00
Closest atoms and distances in Å follow each position.
Fractional coordinates of all 4 atoms:
Co 0.0000 0.0000 0.5104  6 Os 2.51-2.64, 4 Ni 2.57, 2 Co 2.68
Ni 0.5000 0.5000 0.7396  6 Os 2.51-2.64, 4 Co 2.57, 2 Ni 2.68
Os 0.0000 0.0000 0.9980  2 Co 2.51-2.64, 6 Os 2.63-2.68, 4 Ni 2.64
Os 0.5000 0.5000 0.2520  2 Ni 2.51-2.64, 6 Os 2.63-2.68, 4 Co 2.64

Results
E_tot, eV per atom: -8.71
E above lowest polymorph, eV/f.u.: 0.01
Crystal system: orthorhombic
M_tot, μB/f.u.: 1.05
ΔE_f, eV per formula unit: 0.5

[7]
Material: CoNi4Os
Method: DFT, PBE
State: relaxed

Unit cell a=4.6264 b=4.6264 c=4.6264 alpha=60.00 beta=60.00 gamma=60.00
Closest atoms and distances in Å follow each position.
Fractional coordinates of all 6 atoms:
Co 0.0000 0.0000 0.0000  12 Ni 2.71, 4 Os 2.83
Ni 0.8757 0.3748 0.3748  6 Ni 2.31-2.32
Ni 0.3748 0.3748 0.8757  6 Ni 2.31-2.32
Ni 0.3748 0.8757 0.3748  6 Ni 2.31-2.32
Ni 0.3748 0.3748 0.3748  6 Ni 2.31-2.32
Os 0.7500 0.7500 0.7500  12 Ni 2.71, 4 Co 2.83

Results
E_tot, eV per atom: -6.65
Crystal system: cubic
M_tot, μB/f.u.: 5.05
ΔE_f, eV per formula unit: 1.6

[8]
Material: CoNiOs2
Method: DFT, PBE
State: relaxed

Unit cell a=4.4744 b=4.4744 c=4.6074 alpha=80.28 beta=80.28 gamma=34.37
Closest atoms and distances in Å follow each position.
Fractional coordinates of all 4 atoms:
Co 0.7500 0.7500 0.7500  6 Os 2.58-2.62, 2 Co 2.64, 4 Ni 2.66
Ni 0.2500 0.2500 0.2500  6 Os 2.59-2.62, 2 Ni 2.64, 4 Co 2.66
Os 0.0027 0.0027 0.9978  3 Co 2.58-2.62, 3 Ni 2.59-2.62, 6 Os 2.64-2.67
Os 0.4973 0.4973 0.5022  3 Co 2.58-2.62, 3 Ni 2.59-2.62, 6 Os 2.64-2.67

Results
E_tot, eV per atom: -8.65
E above lowest polymorph, eV/f.u.: 0.25
Crystal system: monoclinic
M_tot, μB/f.u.: 1.21
ΔE_f, eV per formula unit: 0.8

[9]
Material: CoNiOs
Method: DFT, PBE
State: relaxed

Unit cell a=4.3912 b=4.3912 c=4.3912 alpha=145.47 beta=131.39 gamma=60.99
Closest atoms and distances in Å follow each position.
Fractional coordinates of all 3 atoms:
Co 0.0025 0.0025 0.0000  5 Ni 2.50-2.57, 5 Os 2.54-2.55, 2 Co 2.61
Ni 0.3326 0.3326 0.0000  5 Co 2.50-2.57, 5 Os 2.51-2.56, 2 Ni 2.61
Os 0.6649 0.6649 0.0000  5 Ni 2.51-2.56, 5 Co 2.54-2.55, 2 Os 2.61

Results
E_tot, eV per atom: -7.94
E above lowest polymorph, eV/f.u.: 0.00
Crystal system: orthorhombic
M_tot, μB/f.u.: 0.00
ΔE_f, eV per formula unit: 0.3

[10]
Material: Co2Ni2Os
Method: DFT, PBE
State: relaxed

Unit cell a=6.8016 b=6.8016 c=2.5579 alpha=90.00 beta=90.00 gamma=90.00
Closest atoms and distances in Å follow each position.
Fractional coordinates of all 10 atoms:
Ni 0.1776 0.6776 0.5000  6 Co 2.33-2.43, 2 Ni 2.56
Ni 0.6776 0.8224 0.5000  6 Co 2.33-2.43, 2 Ni 2.56
Ni 0.8224 0.3224 0.5000  6 Co 2.33-2.43, 2 Ni 2.56
Ni 0.3224 0.1776 0.5000  6 Co 2.33-2.43, 2 Ni 2.56
Os 0.0000 0.0000 0.0000  2 Os 2.56, 4 Co 2.71, 8 Ni 2.81
Os 0.5000 0.5000 0.0000  2 Os 2.56, 4 Co 2.71, 8 Ni 2.81
Co 0.3800 0.8800 0.0000  3 Co 2.31-2.56, 6 Ni 2.33-2.43
Co 0.8800 0.6200 0.0000  3 Co 2.31-2.56, 6 Ni 2.33-2.43
Co 0.6200 0.1200 0.0000  3 Co 2.31-2.56, 6 Ni 2.33-2.43
Co 0.1200 0.3800 0.0000  3 Co 2.31-2.56, 6 Ni 2.33-2.43

Results
E_tot, eV per atom: -7.10
E above lowest polymorph, eV/f.u.: 0.16
Crystal system: tetragonal
M_tot, μB/f.u.: 5.12
ΔE_f, eV per formula unit: 1.5

[11]
Material: CoNiOs
Method: DFT, PBE
State: relaxed

Unit cell a=5.5991 b=5.5991 c=5.5991 alpha=152.97 beta=152.97 gamma=38.60
Closest atoms and distances in Å follow each position.
Fractional coordinates of all 3 atoms:
Co 0.0014 0.0014 0.0000  4 Os 2.52, 4 Ni 2.55, 4 Co 2.62
Ni 0.3357 0.3357 0.0000  4 Co 2.55, 4 Os 2.60, 4 Ni 2.62
Os 0.6629 0.6629 0.0000  4 Co 2.52, 4 Ni 2.60, 4 Os 2.62

Results
E_tot, eV per atom: -7.88
E above lowest polymorph, eV/f.u.: 0.17
Crystal system: tetragonal
M_tot, μB/f.u.: 0.55
ΔE_f, eV per formula unit: 0.5

[12]
Material: CoNiOs2
Method: DFT, PBE
State: relaxed

Unit cell a=8.5322 b=8.5322 c=8.5322 alpha=18.05 beta=18.05 gamma=18.05
Closest atoms and distances in Å follow each position.
Fractional coordinates of all 4 atoms:
Co 0.4981 0.4981 0.4981  3 Ni 2.52, 3 Os 2.60, 6 Co 2.68
Ni 0.7526 0.7526 0.7526  3 Co 2.52, 3 Os 2.63, 6 Ni 2.68
Os 0.0013 0.0013 0.0013  3 Ni 2.63, 9 Os 2.67-2.68
Os 0.2480 0.2480 0.2480  3 Co 2.60, 9 Os 2.67-2.68

Results
E_tot, eV per atom: -8.63
E above lowest polymorph, eV/f.u.: 0.30
Crystal system: trigonal
M_tot, μB/f.u.: 1.56
ΔE_f, eV per formula unit: 0.8